KZnHg2Au: optimized geometry, PBE.

Unit cell a=5.519 b=5.519 c=5.021 alpha=90.00 beta=90.00 gamma=90.00
Fractional positions:
Au (0.000, 0.000, 0.000)
Hg (0.500, 0.000, 0.000)
Hg (0.000, 0.500, 0.000)
Zn (0.000, 0.000, 0.500)
K (0.500, 0.500, 0.500)

## Properties
Distance to the lowest polymorph of the same formula = 10.1 meV/atom
ρ = 7.629 g cm⁻³
Density of states at the Fermi level = 0.50 states/eV/atom